Entry 1:
VASP calculation (PBE) on Cu2Ni2Te after structural relaxation.

```
Cu2Ni2Te
1.0
6.393 0.000 0.000
0.000 6.393 0.000
0.000 0.000 3.492
Cu Ni Te
4 4 2
Cartesian
0.948 2.249 0.000
2.249 5.445 0.000
4.145 0.948 0.000
5.445 4.145 0.000
0.885 4.081 1.746
2.312 0.885 1.746
4.081 5.509 1.746
5.509 2.312 1.746
0.000 0.000 1.746
3.197 3.197 1.746
```

Calculated values
total DFT energy (no corrections): -4.422 eV/atom
E_form (uncorrected): 0.157 eV per atom
relative energy among the computed polymorphs: 0 meV/atom
spin magnetization: 0.00 μB per cell

Entry 2:
VASP calculation (PBE) on CuNi3Te after structural relaxation.

```
CuNi3Te
1.0
4.339 0.000 0.000
0.000 4.339 0.000
0.000 0.000 4.339
Cu Ni Te
1 3 1
Cartesian
0.000 0.000 0.000
0.000 0.000 2.169
0.000 2.169 0.000
2.169 0.000 0.000
2.169 2.169 2.169
```

Calculated values
total DFT energy (no corrections): -4.144 eV/atom
E_form (uncorrected): 0.772 eV per atom
relative energy among the computed polymorphs: 0 meV/atom
spin magnetization: 0.72 μB per cell

Entry 3:
VASP calculation (PBE) on Cu3NiTe after structural relaxation.

```
Cu3NiTe
1.0
4.788 0.000 0.000
0.000 4.788 0.000
0.000 0.000 4.788
Cu Ni Te
3 1 1
Cartesian
0.000 0.000 2.394
0.000 2.394 0.000
2.394 0.000 0.000
2.394 2.394 2.394
0.000 0.000 0.000
```

Calculated values
total DFT energy (no corrections): -3.120 eV/atom
E_form (uncorrected): 1.122 eV per atom
relative energy among the computed polymorphs: 458 meV/atom
spin magnetization: 0.70 μB per cell

Entry 4:
VASP calculation (PBE) on CuNi2Te2 after structural relaxation.

```
CuNi2Te2
1.0
6.842 0.000 0.000
0.000 6.842 0.000
0.000 0.000 3.634
Cu Ni Te
2 4 4
Cartesian
0.000 0.000 0.000
3.421 3.421 0.000
0.892 2.529 0.000
2.529 5.950 0.000
4.314 0.892 0.000
5.950 4.314 0.000
1.186 4.608 1.817
2.235 1.186 1.817
4.608 5.656 1.817
5.656 2.235 1.817
```

Calculated values
total DFT energy (no corrections): -4.261 eV/atom
E_form (uncorrected): 0.128 eV per atom
relative energy among the computed polymorphs: 0 meV/atom
spin magnetization: 0.00 μB per cell

Entry 5:
VASP calculation (PBE) on CuNiTe2 after structural relaxation.

```
CuNiTe2
1.0
3.263 0.000 0.000
0.000 3.263 0.000
0.000 0.000 7.195
Cu Ni Te
1 1 2
Cartesian
0.000 0.000 0.000
0.000 0.000 3.597
1.631 1.631 1.904
1.631 1.631 5.291
```

Calculated values
total DFT energy (no corrections): -3.684 eV/atom
E_form (uncorrected): 0.356 eV per atom
relative energy among the computed polymorphs: 448 meV/atom
spin magnetization: 0.00 μB per cell

Entry 6:
VASP calculation (PBE) on CuNiTe after structural relaxation.

```
CuNiTe
1.0
7.376 0.000 0.000
0.000 3.889 0.000
-0.489 0.000 7.655
Cu Ni Te
4 4 4
Cartesian
1.149 0.000 0.417
2.050 1.945 7.238
4.837 1.945 0.417
5.738 0.000 7.238
-0.290 1.945 6.354
3.489 0.000 1.301
3.398 0.000 6.354
7.177 1.945 1.301
1.039 0.000 5.404
2.160 1.945 2.251
4.727 1.945 5.404
5.848 0.000 2.251
```

Calculated values
total DFT energy (no corrections): -4.410 eV/atom
E_form (uncorrected): -0.070 eV per atom
spin magnetization: 0.00 μB per cell

Entry 7:
VASP calculation (PBE) on CuNiTe after structural relaxation.

```
CuNiTe
1.0
4.090 0.000 0.000
0.000 4.090 0.000
0.000 0.000 5.853
Cu Ni Te
2 2 2
Cartesian
1.023 1.023 1.365
3.068 3.068 4.488
1.023 3.068 2.926
3.068 1.023 2.926
1.023 1.023 4.548
3.068 3.068 1.305
```

Calculated values
total DFT energy (no corrections): -4.409 eV/atom
E_form (uncorrected): -0.070 eV per atom
spin magnetization: 0.00 μB per cell

Entry 8:
VASP calculation (PBE) on CuNiTe6 after structural relaxation.

```
CuNiTe6
1.0
6.462 0.000 0.000
3.033 5.713 0.000
3.046 1.847 5.415
Cu Ni Te
1 1 6
Cartesian
0.000 0.000 0.000
6.271 3.780 2.708
4.021 3.938 3.983
6.228 6.354 2.983
5.347 4.333 0.347
7.195 3.227 5.068
6.314 1.207 2.433
8.521 3.622 1.432
```

Calculated values
total DFT energy (no corrections): -3.582 eV/atom
E_form (uncorrected): 0.009 eV per atom
spin magnetization: 0.00 μB per cell

Entry 9:
VASP calculation (PBE) on CuNi2Te2 after structural relaxation.

```
CuNi2Te2
1.0
5.032 0.000 0.000
0.000 5.032 0.000
0.000 0.000 7.314
Cu Ni Te
2 4 4
Cartesian
0.000 0.000 0.000
2.516 2.516 3.657
0.000 0.000 2.463
0.000 0.000 4.851
2.516 2.516 1.194
2.516 2.516 6.120
0.000 2.516 1.829
0.000 2.516 5.486
2.516 0.000 1.829
2.516 0.000 5.486
```

Calculated values
total DFT energy (no corrections): -4.134 eV/atom
E_form (uncorrected): 0.254 eV per atom
relative energy among the computed polymorphs: 126 meV/atom
spin magnetization: 0.00 μB per cell

Entry 10:
VASP calculation (PBE) on Cu2NiTe after structural relaxation.

```
Cu2NiTe
1.0
4.120 0.000 0.000
-2.060 3.568 0.000
0.000 0.000 12.845
Cu Ni Te
6 3 3
Cartesian
0.000 0.000 2.800
0.000 0.000 10.045
0.000 2.379 5.763
0.000 2.379 11.363
2.060 1.189 1.482
2.060 1.189 7.081
0.000 0.000 6.422
0.000 2.379 2.141
2.060 1.189 10.704
0.000 0.000 0.000
0.000 2.379 8.563
2.060 1.189 4.282
```

Calculated values
total DFT energy (no corrections): -4.009 eV/atom
E_form (uncorrected): 0.270 eV per atom
spin magnetization: 0.00 μB per cell

Entry 11:
VASP calculation (PBE) on CuNiTe2 after structural relaxation.

```
CuNiTe2
1.0
4.498 0.000 0.000
0.000 5.130 0.000
0.000 0.000 7.182
Cu Ni Te
2 2 4
Cartesian
0.000 0.000 0.000
0.000 2.565 3.591
2.249 0.000 1.340
2.249 2.565 4.931
0.000 0.000 2.621
0.000 2.565 6.212
2.249 0.000 5.841
2.249 2.565 2.250
```

Calculated values
total DFT energy (no corrections): -4.109 eV/atom
E_form (uncorrected): -0.069 eV per atom
relative energy among the computed polymorphs: 23 meV/atom
spin magnetization: 0.00 μB per cell

Entry 12:
VASP calculation (PBE) on Cu2NiTe after structural relaxation.

```
Cu2NiTe
1.0
3.794 0.000 0.000
0.000 3.794 0.000
0.000 0.000 4.034
Cu Ni Te
2 1 1
Cartesian
0.000 1.897 0.000
1.897 0.000 0.000
0.000 0.000 2.017
1.897 1.897 2.017
```

Calculated values
total DFT energy (no corrections): -4.175 eV/atom
E_form (uncorrected): 0.103 eV per atom
spin magnetization: 0.00 μB per cell

Entry 13:
VASP calculation (PBE) on Cu3NiTe after structural relaxation.

```
Cu3NiTe
1.0
4.441 0.000 0.000
0.000 4.441 0.000
0.000 0.000 4.441
Cu Ni Te
3 1 1
Cartesian
0.000 0.000 2.221
0.000 2.221 0.000
2.221 0.000 0.000
0.000 0.000 0.000
2.221 2.221 2.221
```

Calculated values
total DFT energy (no corrections): -3.578 eV/atom
E_form (uncorrected): 0.664 eV per atom
relative energy among the computed polymorphs: 0 meV/atom
spin magnetization: 0.00 μB per cell

Entry 14:
VASP calculation (PBE) on Cu2NiTe after structural relaxation.

```
Cu2NiTe
1.0
8.390 0.000 0.000
0.000 3.886 0.000
-1.631 0.000 3.582
Cu Ni Te
4 2 2
Cartesian
0.000 0.000 0.000
1.714 1.943 0.818
4.195 1.943 0.000
5.909 0.000 0.818
0.876 0.000 2.649
5.072 1.943 2.649
-0.812 1.943 1.808
3.383 0.000 1.808
```

Calculated values
total DFT energy (no corrections): -4.146 eV/atom
E_form (uncorrected): 0.133 eV per atom
spin magnetization: 0.00 μB per cell

Entry 15:
VASP calculation (PBE) on CuNiTe2 after structural relaxation.

```
CuNiTe2
1.0
6.859 0.000 0.000
0.000 6.859 0.000
0.000 0.000 6.859
Cu Ni Te
4 4 8
Cartesian
0.000 0.000 0.000
0.000 3.429 3.429
3.429 0.000 3.429
3.429 3.429 0.000
1.715 1.715 1.715
1.715 5.144 5.144
5.144 1.715 5.144
5.144 5.144 1.715
0.000 0.000 3.429
0.000 3.429 0.000
1.715 1.715 5.144
1.715 5.144 1.715
3.429 0.000 0.000
3.429 3.429 3.429
5.144 1.715 1.715
5.144 5.144 5.144
```

Calculated values
total DFT energy (no corrections): -3.365 eV/atom
E_form (uncorrected): 0.675 eV per atom
relative energy among the computed polymorphs: 767 meV/atom
spin magnetization: 0.00 μB per cell

Entry 16:
VASP calculation (PBE) on Cu2NiTe after structural relaxation.

```
Cu2NiTe
1.0
3.728 0.000 0.000
0.000 3.728 0.000
0.000 0.000 8.356
Cu Ni Te
4 2 2
Cartesian
0.000 1.864 2.089
0.000 1.864 6.267
1.864 0.000 2.089
1.864 0.000 6.267
0.000 0.000 0.000
1.864 1.864 4.178
0.000 0.000 4.178
1.864 1.864 0.000
```

Calculated values
total DFT energy (no corrections): -4.149 eV/atom
E_form (uncorrected): 0.130 eV per atom
spin magnetization: 0.00 μB per cell

Entry 17:
VASP calculation (PBE) on CuNiTe after structural relaxation.

```
CuNiTe
1.0
5.883 0.000 0.000
0.000 5.883 0.000
0.000 0.000 5.883
Cu Ni Te
4 4 4
Cartesian
0.000 0.000 0.000
0.000 2.942 2.942
2.942 0.000 2.942
2.942 2.942 0.000
1.471 1.471 1.471
1.471 4.413 4.413
4.413 1.471 4.413
4.413 4.413 1.471
0.000 0.000 2.942
0.000 2.942 0.000
2.942 0.000 0.000
2.942 2.942 2.942
```

Calculated values
total DFT energy (no corrections): -4.413 eV/atom
E_form (uncorrected): -0.073 eV per atom
spin magnetization: 0.00 μB per cell

Entry 18:
VASP calculation (PBE) on CuNiTe2 after structural relaxation.

```
CuNiTe2
1.0
6.145 0.000 0.000
0.000 7.438 0.000
0.000 0.000 7.484
Cu Ni Te
4 4 8
Cartesian
0.000 0.000 0.000
0.000 3.719 3.742
3.073 0.000 3.742
3.073 3.719 0.000
0.000 0.000 3.742
0.000 3.719 0.000
3.073 0.000 0.000
3.073 3.719 3.742
0.000 1.859 1.871
0.000 1.859 5.613
0.000 5.578 1.871
0.000 5.578 5.613
3.073 1.859 1.871
3.073 1.859 5.613
3.073 5.578 1.871
3.073 5.578 5.613
```

Calculated values
total DFT energy (no corrections): -3.829 eV/atom
E_form (uncorrected): 0.211 eV per atom
relative energy among the computed polymorphs: 302 meV/atom
spin magnetization: 0.00 μB per cell

Entry 19:
VASP calculation (PBE) on CuNiTe2 after structural relaxation.

```
CuNiTe2
1.0
3.758 0.000 0.000
0.000 5.768 0.000
0.000 0.000 7.578
Cu Ni Te
2 2 4
Cartesian
0.000 0.000 0.000
1.879 2.884 0.000
0.000 0.000 3.789
1.879 2.884 3.789
0.000 2.884 2.003
0.000 2.884 5.575
1.879 0.000 2.003
1.879 0.000 5.575
```

Calculated values
total DFT energy (no corrections): -3.721 eV/atom
E_form (uncorrected): 0.319 eV per atom
relative energy among the computed polymorphs: 411 meV/atom
spin magnetization: 0.00 μB per cell

Entry 20:
VASP calculation (PBE) on TlCu2NiTe after structural relaxation.

```
TlCu2NiTe
1.0
4.674 0.000 0.000
0.000 4.674 0.000
0.000 0.000 4.844
Tl Cu Ni Te
1 2 1 1
Cartesian
0.000 0.000 0.000
0.000 2.337 2.422
2.337 0.000 2.422
0.000 0.000 2.422
2.337 2.337 0.000
```

Calculated values
total DFT energy (no corrections): -3.331 eV/atom
E_form (uncorrected): 0.566 eV per atom
spin magnetization: 0.00 μB per cell